Entry 1:
Below is crystalline SbRuSeN2 at its relaxed geometry, with properties calculated at the PBE level.

Calculated values
* energy relative to the elements, uncorrected: 82 kJ per mole of atoms
* crystal system: tetragonal

Structure (CIF):
```
data_SbRuSeN2
_symmetry_space_group_name_H-M 'P 4/m m m'
_symmetry_Int_Tables_number 123
_symmetry_space_group_name_Hall '-P 4 2'
_cell_length_a 3.929
_cell_length_b 3.929
_cell_length_c 5.245
_cell_angle_alpha 90.00
_cell_angle_beta 90.00
_cell_angle_gamma 90.00
loop_
_atom_site_label
_atom_site_type_symbol
_atom_site_fract_x
_atom_site_fract_y
_atom_site_fract_z
Sb1 Sb 0.000 0.000 0.000
Ru1 Ru 0.500 0.500 0.500
Se1 Se 0.500 0.500 0.000
N1 N 0.000 0.500 0.500
```

***

Entry 2:
Below is crystalline Sb2TeRuN at its relaxed geometry, with properties calculated at the PBE level.

Calculated values
* energy relative to the elements, uncorrected: 84 kJ per mole of atoms
* crystal system: tetragonal

Structure (CIF):
```
data_Sb2TeRuN
_symmetry_space_group_name_H-M 'P 4/m m m'
_symmetry_Int_Tables_number 123
_symmetry_space_group_name_Hall '-P 4 2'
_cell_length_a 4.615
_cell_length_b 4.615
_cell_length_c 4.560
_cell_angle_alpha 90.00
_cell_angle_beta 90.00
_cell_angle_gamma 90.00
loop_
_atom_site_label
_atom_site_type_symbol
_atom_site_fract_x
_atom_site_fract_y
_atom_site_fract_z
Sb1 Sb 0.000 0.500 0.000
Te1 Te 0.000 0.000 0.500
Ru1 Ru 0.500 0.500 0.500
N1 N 0.000 0.000 0.000
```

***

Entry 3:
Below is crystalline SbTe2RuN at its relaxed geometry, with properties calculated at the PBE level.

Calculated values
* energy relative to the elements, uncorrected: 92 kJ per mole of atoms
* crystal system: tetragonal

Structure (CIF):
```
data_SbTe2RuN
_symmetry_space_group_name_H-M 'P 4/m m m'
_symmetry_Int_Tables_number 123
_symmetry_space_group_name_Hall '-P 4 2'
_cell_length_a 4.620
_cell_length_b 4.620
_cell_length_c 4.627
_cell_angle_alpha 90.00
_cell_angle_beta 90.00
_cell_angle_gamma 90.00
loop_
_atom_site_label
_atom_site_type_symbol
_atom_site_fract_x
_atom_site_fract_y
_atom_site_fract_z
Sb1 Sb 0.000 0.000 0.000
Te1 Te 0.000 0.500 0.500
Ru1 Ru 0.500 0.500 0.000
N1 N 0.000 0.000 0.500
```

***

Entry 4:
Below is crystalline SbTe2RuN at its relaxed geometry, with properties calculated at the PBE level.

Calculated values
* energy relative to the elements, uncorrected: 27 kJ per mole of atoms
* crystal system: tetragonal

Structure (CIF):
```
data_SbTe2RuN
_symmetry_space_group_name_H-M 'P 4/m m m'
_symmetry_Int_Tables_number 123
_symmetry_space_group_name_Hall '-P 4 2'
_cell_length_a 5.495
_cell_length_b 5.495
_cell_length_c 3.711
_cell_angle_alpha 90.00
_cell_angle_beta 90.00
_cell_angle_gamma 90.00
loop_
_atom_site_label
_atom_site_type_symbol
_atom_site_fract_x
_atom_site_fract_y
_atom_site_fract_z
Sb1 Sb 0.000 0.000 0.000
Te1 Te 0.000 0.500 0.500
Ru1 Ru 0.500 0.500 0.500
N1 N 0.500 0.500 0.000
```

***

Entry 5:
Below is crystalline Sb2TeRuN at its relaxed geometry, with properties calculated at the PBE level.

Calculated values
* energy relative to the elements, uncorrected: 144 kJ per mole of atoms
* crystal system: tetragonal

Structure (CIF):
```
data_Sb2TeRuN
_symmetry_space_group_name_H-M 'P 4/m m m'
_symmetry_Int_Tables_number 123
_symmetry_space_group_name_Hall '-P 4 2'
_cell_length_a 5.061
_cell_length_b 5.061
_cell_length_c 5.100
_cell_angle_alpha 90.00
_cell_angle_beta 90.00
_cell_angle_gamma 90.00
loop_
_atom_site_label
_atom_site_type_symbol
_atom_site_fract_x
_atom_site_fract_y
_atom_site_fract_z
Sb1 Sb 0.000 0.500 0.000
Te1 Te 0.000 0.000 0.500
Ru1 Ru 0.000 0.000 0.000
N1 N 0.500 0.500 0.500
```

***

Entry 6:
Below is crystalline SbTe2RuN at its relaxed geometry, with properties calculated at the PBE level.

Calculated values
* energy relative to the elements, uncorrected: 138 kJ per mole of atoms
* crystal system: tetragonal

Structure (CIF):
```
data_SbTe2RuN
_symmetry_space_group_name_H-M 'P 4/m m m'
_symmetry_Int_Tables_number 123
_symmetry_space_group_name_Hall '-P 4 2'
_cell_length_a 5.761
_cell_length_b 5.761
_cell_length_c 3.824
_cell_angle_alpha 90.00
_cell_angle_beta 90.00
_cell_angle_gamma 90.00
loop_
_atom_site_label
_atom_site_type_symbol
_atom_site_fract_x
_atom_site_fract_y
_atom_site_fract_z
Sb1 Sb 0.000 0.000 0.000
Te1 Te 0.000 0.500 0.000
Ru1 Ru 0.500 0.500 0.500
N1 N 0.000 0.000 0.500
```

***

Entry 7:
Below is crystalline SbTe2RuN at its relaxed geometry, with properties calculated at the PBE level.

Calculated values
* energy relative to the elements, uncorrected: 151 kJ per mole of atoms
* crystal system: tetragonal

Structure (CIF):
```
data_SbTe2RuN
_symmetry_space_group_name_H-M 'P 4/m m m'
_symmetry_Int_Tables_number 123
_symmetry_space_group_name_Hall '-P 4 2'
_cell_length_a 5.119
_cell_length_b 5.119
_cell_length_c 5.080
_cell_angle_alpha 90.00
_cell_angle_beta 90.00
_cell_angle_gamma 90.00
loop_
_atom_site_label
_atom_site_type_symbol
_atom_site_fract_x
_atom_site_fract_y
_atom_site_fract_z
Sb1 Sb 0.000 0.000 0.000
Te1 Te 0.000 0.500 0.500
Ru1 Ru 0.000 0.000 0.500
N1 N 0.500 0.500 0.000
```

***

Entry 8:
Below is crystalline ThSbRuN at its relaxed geometry, with properties calculated at the PBE level.

Calculated values
* energy relative to the elements, uncorrected: -96 kJ per mole of atoms
* crystal system: tetragonal

Structure (CIF):
```
data_ThSbRuN
_symmetry_space_group_name_H-M 'P 4/n m m'
_symmetry_Int_Tables_number 129
_cell_length_a 4.247
_cell_length_b 4.247
_cell_length_c 8.825
_cell_angle_alpha 90.00
_cell_angle_beta 90.00
_cell_angle_gamma 90.00
loop_
_symmetry_equiv_pos_as_xyz
'x,y,z'
'-x,-y,-z'
'-y+1/2,x,z'
'y+1/2,-x,-z'
'-x+1/2,-y+1/2,z'
'x+1/2,y+1/2,-z'
'y,-x+1/2,z'
'-y,x+1/2,-z'
'x+1/2,-y,-z'
'-x+1/2,y,z'
'-y,-x,-z'
'y,x,z'
'-x,y+1/2,-z'
'x,-y+1/2,z'
'y+1/2,x+1/2,-z'
'-y+1/2,-x+1/2,z'
loop_
_atom_site_label
_atom_site_type_symbol
_atom_site_fract_x
_atom_site_fract_y
_atom_site_fract_z
Th1 Th 0.250 0.250 0.123
Sb1 Sb 0.250 0.250 0.669
Ru1 Ru 0.250 0.750 0.500
N1 N 0.250 0.750 0.000
```